DFT (GGA-PBE) results for crystalline CeSe6Br12 at its relaxed geometry.

```
CeSe6Br12
1.0
5.477 3.162 7.435
-5.477 3.162 7.435
0.000 -6.325 7.435
Ce Se Br
1 6 12
direct
0.000 0.000 0.000
0.227 0.296 0.485
0.296 0.485 0.227
0.485 0.227 0.296
0.515 0.773 0.704
0.704 0.515 0.773
0.773 0.704 0.515
0.011 0.700 0.542
0.119 0.255 0.836
0.164 0.881 0.745
0.255 0.836 0.119
0.300 0.458 0.989
0.458 0.989 0.300
0.542 0.011 0.700
0.700 0.542 0.011
0.745 0.164 0.881
0.836 0.119 0.255
0.881 0.745 0.164
0.989 0.300 0.458
```

E_form (uncorrected) in kJ/mol of atoms: -36
Density in Mg/m³: 3.38
Crystal system: trigonal